[1]
AlCr2P | PBE | relaxed

Calculated values
ΔE to the lowest computed polymorph: 353 meV per atom
SG: No. 216
D(E_F): 3.13 states/eV/f.u.
uncorrected energy: -27.950 eV per formula unit

Lattice parameters (Å, degrees): 4.1426 4.1426 4.1426 60.00 60.00 60.00
Last column: nearest neighbours and their distance in Å.
Positions (direct):
Cr1 0.0000 0.0000 0.0000  4 Cr 2.54, 4 P 2.54
Cr2 0.2500 0.2500 0.2500  4 Cr 2.54, 4 Al 2.54
Al1 0.5000 0.5000 0.5000  4 Cr 2.54, 4 P 2.54
P1 0.7500 0.7500 0.7500  4 Cr 2.54, 4 Al 2.54


[2]
AlCr2P | PBE | relaxed

Calculated values
ΔE to the lowest computed polymorph: 214 meV per atom
SG: No. 166
D(E_F): 3.19 states/eV/f.u.
uncorrected energy: -28.507 eV per formula unit

Lattice parameters (Å, degrees): 7.8885 7.8885 7.8885 20.13 20.13 20.13
Last column: nearest neighbours and their distance in Å.
Positions (direct):
Cr1 0.9921 0.9921 0.9921  3 P 2.36, 3 Al 2.65
Cr2 0.5079 0.5079 0.5079  3 P 2.36, 3 Al 2.65
Al1 0.7500 0.7500 0.7500  6 Cr 2.65, 6 Al 2.76
P1 0.2500 0.2500 0.2500  6 Cr 2.36


[3]
Al3CrP | PBE | relaxed

Calculated values
ΔE to the lowest computed polymorph: 0 meV per atom
SG: No. 221
D(E_F): 5.44 states/eV/f.u.
uncorrected energy: -21.794 eV per formula unit

Lattice parameters (Å, degrees): 4.6905 4.6905 4.6905 90.00 90.00 90.00
Last column: nearest neighbours and their distance in Å.
Positions (direct):
Cr1 0.0000 0.0000 0.0000  6 Al 2.35
Al1 0.0000 0.5000 0.0000  2 Cr 2.35
Al2 0.0000 0.0000 0.5000  2 Cr 2.35
Al3 0.5000 0.0000 0.0000  2 Cr 2.35
P1 0.5000 0.5000 0.5000  12 Al 3.32


[4]
AlCr4P | PBE | relaxed

Calculated values
SG: No. 216
D(E_F): 5.13 states/eV/f.u.
uncorrected energy: -46.117 eV per formula unit

Lattice parameters (Å, degrees): 4.7381 4.7381 4.7381 60.00 60.00 60.00
Last column: nearest neighbours and their distance in Å.
Positions (direct):
Al1 0.0000 0.0000 0.0000  12 Cr 2.78, 4 P 2.90
Cr1 0.8741 0.3753 0.3753  6 Cr 2.36-2.37
Cr2 0.3753 0.3753 0.8741  6 Cr 2.36-2.37
Cr3 0.3753 0.8741 0.3753  6 Cr 2.36-2.37
Cr4 0.3753 0.3753 0.3753  6 Cr 2.36-2.37
P1 0.7500 0.7500 0.7500  12 Cr 2.78, 4 Al 2.90


[5]
AlCr2P | PBE | relaxed

Calculated values
ΔE to the lowest computed polymorph: 169 meV per atom
SG: No. 71
D(E_F): 4.02 states/eV/f.u.
uncorrected energy: -28.687 eV per formula unit

Lattice parameters (Å, degrees): 4.5959 4.5959 4.3562 61.72 61.72 39.14
Last column: nearest neighbours and their distance in Å.
Positions (direct):
Cr1 0.9690 0.9690 0.0312  2 P 2.25
Cr2 0.5310 0.5310 0.4688  2 P 2.25
Al1 0.7500 0.7500 0.7500  8 Cr 2.61-2.73, 4 P 2.67
P1 0.2500 0.2500 0.2500  4 Cr 2.25


[6]
Al2CrP | PBE | relaxed

Calculated values
SG: No. 69
D(E_F): 2.47 states/eV/f.u.
uncorrected energy: -22.606 eV per formula unit

Lattice parameters (Å, degrees): 4.8443 4.8443 4.8509 135.37 135.35 64.85
Last column: nearest neighbours and their distance in Å.
Positions (direct):
Cr1 0.7500 0.2500 0.5000  4 P 2.60-2.61, 8 Al 2.75
Al1 0.0000 0.0000 0.0000  4 Al 2.60-2.61, 4 P 2.75, 4 Cr 2.75
Al2 0.5000 0.5000 0.0000  4 Al 2.60-2.61, 4 P 2.75, 4 Cr 2.75
P1 0.2500 0.7500 0.5000  4 Cr 2.60-2.61, 8 Al 2.75